A relaxed structure of SmSn3Cl9. Source: Alexandria via LeMat-Bulk, functional PBE-GGA.

## Properties
SG: No. 9
E_form (uncorrected): -1.3754 eV per atom
Calculated volume: 33.38 Å³/atom

Cell lengths 10.985, 10.985, 12.364 Å; angles 121.59, 121.59, 44.91 degrees
Positions (direct):
Sm: 0.234 0.766 0.500
Sm: 0.766 0.234 0.000
Sn: 0.252 0.256 0.246
Sn: 0.256 0.252 0.746
Sn: 0.400 0.742 0.226
Sn: 0.742 0.400 0.726
Sn: 0.832 0.842 0.127
Sn: 0.842 0.832 0.627
Cl: 0.006 0.459 0.862
Cl: 0.059 0.126 0.562
Cl: 0.098 0.459 0.607
Cl: 0.104 0.835 0.688
Cl: 0.126 0.059 0.062
Cl: 0.203 0.644 0.231
Cl: 0.415 0.436 0.975
Cl: 0.436 0.415 0.475
Cl: 0.459 0.006 0.362
Cl: 0.459 0.098 0.107
Cl: 0.481 0.752 0.471
Cl: 0.494 0.743 0.742
Cl: 0.644 0.203 0.731
Cl: 0.743 0.494 0.242
Cl: 0.752 0.481 0.971
Cl: 0.835 0.104 0.188
Cl: 0.873 0.882 0.870
Cl: 0.882 0.873 0.370